Entry 1:
DFT (GGA-PBEsol) results for a relaxed MnCrIr crystal.

Output
DFT formation energy (eV/f.u.): -0.310

Cell lengths 2.5925, 3.9855, 3.9855 Å; angles 120.00, 90.00, 90.00 degrees
Last column: nearest neighbours and their distance in Å.
Fractional positions:
Cr1 0.5000 0.0000 0.0000  3 Mn 2.30
Ir1 0.0000 0.3333 0.6667  2 Ir 2.59, 6 Cr 2.64, 6 Mn 2.64
Mn1 0.5000 0.6667 0.3333  3 Cr 2.30

Entry 2:
DFT (GGA-PBEsol) results for a relaxed Sr4Fe3ClO8 crystal.

Output
ΔE_f (raw) (eV/atom): -2.093

Cell lengths 3.8583, 3.8583, 15.0113 Å; angles 90.00, 90.00, 90.00 degrees
Last column: nearest neighbours and their distance in Å.
Fractional positions:
Sr1 0.0000 0.0000 0.6177  8 O 2.62-2.73
Sr2 0.0000 0.0000 0.1336  4 O 2.38
Sr3 0.0000 0.0000 0.3823  8 O 2.62-2.73
Sr4 0.0000 0.0000 0.8664  4 O 2.38
Fe1 0.5000 0.5000 0.7506  5 O 1.86-1.96
Fe2 0.5000 0.5000 0.2494  5 O 1.86-1.96
Fe3 0.5000 0.5000 0.5000  6 O 1.90-1.93
Cl1 0.5000 0.5000 0.0000  8 Sr 3.39, 2 Fe 3.74
O1 0.5000 0.0000 0.5000  2 Fe 1.93
O2 0.5000 0.5000 0.6268  2 Fe 1.86-1.90
O3 0.0000 0.5000 0.7739  2 Fe 1.96
O4 0.5000 0.5000 0.3732  2 Fe 1.86-1.90
O5 0.5000 0.0000 0.2261  2 Fe 1.96
O6 0.0000 0.5000 0.5000  2 Fe 1.93
O7 0.0000 0.5000 0.2261  2 Fe 1.96
O8 0.5000 0.0000 0.7739  2 Fe 1.96

Entry 3:
DFT (GGA-PBEsol) results for a relaxed LiZnAg crystal.

Output
DFT formation energy (eV/f.u.): -0.300
Energy relative to the lowest polymorph listed for this composition (meV/atom): 79

Cell lengths 2.8137, 2.8137, 6.6914 Å; angles 90.00, 90.00, 120.00 degrees
Last column: nearest neighbours and their distance in Å.
Fractional positions:
Zn1 0.3333 0.6667 0.3364  3 Li 2.73, 3 Ag 2.78, 6 Zn 2.81
Ag1 0.0000 0.0000 0.9989  3 Li 2.76, 3 Zn 2.78, 6 Ag 2.81
Li1 0.6667 0.3333 0.6647  3 Zn 2.73, 3 Ag 2.76, 6 Li 2.81

Entry 4:
DFT (GGA-PBEsol) results for a relaxed LiCuRh2 crystal.

Output
DFT formation energy (eV/f.u.): 0.070

Cell lengths 2.5843, 4.6211, 5.0026 Å; angles 116.71, 103.65, 92.76 degrees
Last column: nearest neighbours and their distance in Å.
Fractional positions:
Rh1 0.0000 0.0000 0.5000  2 Cu 2.53, 2 Li 2.53, 6 Rh 2.58-2.70
Rh2 0.5000 0.5000 0.5000  2 Li 2.53, 2 Cu 2.53, 6 Rh 2.58-2.70
Cu1 0.5000 0.0000 0.0000  4 Rh 2.53, 2 Cu 2.58, 4 Li 2.59-2.70
Li1 0.0000 0.5000 0.0000  4 Rh 2.53, 2 Li 2.58, 4 Cu 2.59-2.70

Entry 5:
DFT (GGA-PBEsol) results for a relaxed Cu2TcPt crystal.

Output
DFT formation energy (eV/f.u.): 0.875
Energy relative to the lowest polymorph listed for this composition (meV/atom): 235

Cell lengths 4.2158, 4.2158, 4.2158 Å; angles 60.00, 60.00, 60.00 degrees
Last column: nearest neighbours and their distance in Å.
Fractional positions:
Cu1 0.0000 0.0000 0.0000  4 Tc 2.58, 4 Cu 2.58
Cu2 0.2500 0.2500 0.2500  4 Cu 2.58, 4 Pt 2.58
Pt1 0.5000 0.5000 0.5000  4 Tc 2.58, 4 Cu 2.58
Tc1 0.7500 0.7500 0.7500  4 Cu 2.58, 4 Pt 2.58

Entry 6:
DFT (GGA-PBEsol) results for a relaxed YAs2PtBr crystal.

Output
ΔE_f (raw) (eV/atom): -0.118

Cell lengths 4.8608, 4.8608, 5.0157 Å; angles 90.00, 90.00, 90.00 degrees
Last column: nearest neighbours and their distance in Å.
Fractional positions:
Y1 0.5000 0.5000 0.5000  4 Br 3.44, 8 As 3.49
As1 0.0000 0.5000 0.0000  2 Pt 2.43
As2 0.5000 0.0000 0.0000  2 Pt 2.43
Br1 0.0000 0.0000 0.5000  2 Pt 2.51
Pt1 0.0000 0.0000 0.0000  4 As 2.43, 2 Br 2.51

Entry 7:
DFT (GGA-PBEsol) results for a relaxed MnGePd crystal.

Output
DFT formation energy (eV/f.u.): -0.806

Cell lengths 3.0171, 6.9884, 6.9884 Å; angles 120.00, 90.00, 90.00 degrees
Last column: nearest neighbours and their distance in Å.
Fractional positions:
Mn1 0.5000 0.0000 0.6228  5 Ge 2.64-2.66, 6 Pd 2.76-2.83
Mn2 0.5000 0.6228 0.0000  5 Ge 2.64-2.66, 6 Pd 2.76-2.83
Mn3 0.5000 0.3772 0.3772  5 Ge 2.64-2.66, 6 Pd 2.76-2.83
Ge1 0.5000 0.0000 0.0000  6 Pd 2.54, 3 Mn 2.64
Ge2 0.0000 0.3333 0.6667  3 Pd 2.49, 6 Mn 2.66
Ge3 0.0000 0.6667 0.3333  3 Pd 2.49, 6 Mn 2.66
Pd1 0.0000 0.0000 0.2923  4 Ge 2.49-2.54, 2 Mn 2.76
Pd2 0.0000 0.2923 0.0000  4 Ge 2.49-2.54, 2 Mn 2.76
Pd3 0.0000 0.7077 0.7077  4 Ge 2.49-2.54, 2 Mn 2.76

Entry 8:
DFT (GGA-PBEsol) results for a relaxed Cs2LiTlBr6 crystal.

Output
ΔE_f (raw) (eV/atom): -1.237

Cell lengths 7.7050, 7.7050, 7.7050 Å; angles 60.00, 60.00, 60.00 degrees
Last column: nearest neighbours and their distance in Å.
Fractional positions:
Cs1 0.2500 0.2500 0.2500  12 Br 3.85
Cs2 0.7500 0.7500 0.7500  12 Br 3.85
Tl1 0.5000 0.5000 0.5000  6 Br 2.75
Br1 0.2479 0.7521 0.2479  1 Li 2.70, 1 Tl 2.75
Br2 0.2479 0.2479 0.7521  1 Li 2.70, 1 Tl 2.75
Br3 0.7521 0.7521 0.2479  1 Li 2.70, 1 Tl 2.75
Br4 0.7521 0.2479 0.2479  1 Li 2.70, 1 Tl 2.75
Br5 0.2479 0.7521 0.7521  1 Li 2.70, 1 Tl 2.75
Br6 0.7521 0.2479 0.7521  1 Li 2.70, 1 Tl 2.75
Li1 0.0000 0.0000 0.0000  6 Br 2.70

Entry 9:
DFT (GGA-PBEsol) results for a relaxed BaAlIrI2 crystal.

Output
ΔE_f (raw) (eV/atom): 0.183

Cell lengths 5.4020, 5.4020, 5.6527 Å; angles 90.00, 90.00, 90.00 degrees
Last column: nearest neighbours and their distance in Å.
Fractional positions:
I1 0.0000 0.5000 0.0000  2 Ir 2.70
I2 0.5000 0.0000 0.0000  2 Ir 2.70
Ir1 0.0000 0.0000 0.0000  4 I 2.70, 2 Ba 2.83
Ba1 0.0000 0.0000 0.5000  2 Ir 2.83
Al1 0.5000 0.5000 0.5000  4 Ba 3.82, 8 I 3.91

Entry 10:
DFT (GGA-PBEsol) results for a relaxed ScSiSn3 crystal.

Output
ΔE_f (raw) (eV/atom): 0.750

Cell lengths 5.3444, 5.3444, 5.3444 Å; angles 90.00, 90.00, 90.00 degrees
Last column: nearest neighbours and their distance in Å.
Fractional positions:
Sc1 0.0000 0.0000 0.0000  6 Sn 2.67
Si1 0.5000 0.5000 0.5000  12 Sn 3.78
Sn1 0.0000 0.5000 0.0000  2 Sc 2.67
Sn2 0.0000 0.0000 0.5000  2 Sc 2.67
Sn3 0.5000 0.0000 0.0000  2 Sc 2.67

Entry 11:
DFT (GGA-PBEsol) results for a relaxed CsAlIr3 crystal.

Output
DFT formation energy (eV/f.u.): 6.708
Energy relative to the lowest polymorph listed for this composition (meV/atom): 0

Cell lengths 4.6587, 4.6587, 4.6587 Å; angles 90.00, 90.00, 90.00 degrees
Last column: nearest neighbours and their distance in Å.
Fractional positions:
Cs1 0.5000 0.5000 0.5000  12 Ir 3.29
Ir1 0.0000 0.5000 0.0000  2 Al 2.33
Ir2 0.0000 0.0000 0.5000  2 Al 2.33
Ir3 0.5000 0.0000 0.0000  2 Al 2.33
Al1 0.0000 0.0000 0.0000  6 Ir 2.33

Entry 12:
DFT (GGA-PBEsol) results for a relaxed Mg2AlSb crystal.

Output
ΔE_f (raw) (eV/atom): 0.068
Energy relative to the lowest polymorph listed for this composition (meV/atom): 140

Cell lengths 5.0058, 5.0058, 5.0058 Å; angles 60.00, 60.00, 60.00 degrees
Last column: nearest neighbours and their distance in Å.
Fractional positions:
Sb1 0.7500 0.7500 0.7500  4 Mg 3.07, 4 Al 3.07
Mg1 0.0000 0.0000 0.0000  4 Sb 3.07, 4 Mg 3.07
Mg2 0.2500 0.2500 0.2500  4 Mg 3.07, 4 Al 3.07
Al1 0.5000 0.5000 0.5000  4 Sb 3.07, 4 Mg 3.07